Entry 1:
{
  "formula": "PRuAu2",
  "functional": "PBE-GGA",
  "state": "optimized geometry",
  "dft_energy_ry_per_atom": -0.3818,
  "m_tot_mub_per_cell": 0.00,
  "cell": [[-4.324, -0.097, 5.049], [-6.540, -0.741, 0.931], [5.974, -1.776, -2.313]],
  "species": ["P", "Ru", "Au", "Au"],
  "frac_coords": [[0.000, 0.500, 0.500], [0.500, 0.000, 0.500], [0.817, 0.817, 0.000], [0.183, 0.183, 0.000]]
}



Entry 2:
{
  "formula": "PRuAu2",
  "functional": "PBE-GGA",
  "state": "optimized geometry",
  "dft_energy_ry_per_atom": -0.3537,
  "m_tot_mub_per_cell": 1.00,
  "cell": [[-3.109, 4.903, -6.783], [-0.656, 3.865, -8.021], [-3.114, 2.256, -8.057]],
  "species": ["P", "Ru", "Au", "Au"],
  "frac_coords": [[0.500, 0.500, 0.500], [0.000, 0.000, 0.000], [0.753, 0.753, 0.753], [0.247, 0.247, 0.247]]
}